# 1
A relaxed RbInGa2I8 crystal, computed with PBE-GGA.

```
data_RbInGa2I8
_chemical_formula_sum 'Rb1 In1 Ga2 I8'
_cell_length_a 7.609
_cell_length_b 7.609
_cell_length_c 11.683
_cell_angle_alpha 90.00
_cell_angle_beta 90.00
_cell_angle_gamma 120.00
_symmetry_space_group_name_H-M 'P 1'
_symmetry_Int_Tables_number 1
_symmetry_space_group_name_Hall 'P 1'
loop_
_atom_site_label
_atom_site_fract_x
_atom_site_fract_y
_atom_site_fract_z
_atom_site_occupancy
I1 0.333 0.667 0.993 1
I2 0.345 0.338 0.297 1
I3 0.338 0.993 0.703 1
I4 0.662 0.007 0.297 1
I5 0.993 0.655 0.297 1
I6 0.667 0.333 0.007 1
I7 0.655 0.662 0.703 1
I8 0.007 0.345 0.703 1
Ga1 0.333 0.667 0.773 1
Ga2 0.667 0.333 0.227 1
Rb1 0.000 0.000 0.000 1
In1 0.000 0.000 0.500 1
```

**M_tot**: 0.0 μB per cell
**Formation energy without anion corrections**: -0.67 eV/atom
**Volume**: 48.81 A^3/atom



# 2
A relaxed RbIn2GaI4 crystal, computed with PBE-GGA.

```
data_RbIn2GaI4
_chemical_formula_sum 'Rb1 In2 Ga1 I4'
_cell_length_a 4.983
_cell_length_b 8.638
_cell_length_c 8.657
_cell_angle_alpha 70.68
_cell_angle_beta 90.00
_cell_angle_gamma 90.00
_symmetry_space_group_name_H-M 'P 1'
_symmetry_Int_Tables_number 1
_symmetry_space_group_name_Hall 'P 1'
loop_
_atom_site_label
_atom_site_fract_x
_atom_site_fract_y
_atom_site_fract_z
_atom_site_occupancy
In1 0.000 0.000 0.000 1
In2 0.500 0.000 0.500 1
I1 0.500 0.247 0.765 1
I2 0.500 0.753 0.235 1
I3 0.000 0.257 0.235 1
I4 0.000 0.743 0.765 1
Ga1 0.500 0.500 0.000 1
Rb1 0.000 0.500 0.500 1
```

**M_tot**: 0.0 μB per cell
**Formation energy without anion corrections**: -0.67 eV/atom
**Volume**: 43.96 A^3/atom



# 3
A relaxed Rb2InGaI4 crystal, computed with PBE-GGA.

```
data_Rb2InGaI4
_chemical_formula_sum 'Rb2 In1 Ga1 I4'
_cell_length_a 5.069
_cell_length_b 8.788
_cell_length_c 8.791
_cell_angle_alpha 70.55
_cell_angle_beta 90.00
_cell_angle_gamma 90.00
_symmetry_space_group_name_H-M 'P 1'
_symmetry_Int_Tables_number 1
_symmetry_space_group_name_Hall 'P 1'
loop_
_atom_site_label
_atom_site_fract_x
_atom_site_fract_y
_atom_site_fract_z
_atom_site_occupancy
I1 0.000 0.725 0.766 1
I2 0.000 0.275 0.234 1
I3 0.500 0.730 0.248 1
I4 0.500 0.270 0.752 1
In1 0.000 0.500 0.500 1
Rb1 0.500 0.000 0.500 1
Rb2 0.000 0.000 0.000 1
Ga1 0.500 0.500 0.000 1
```

**M_tot**: 0.0 μB per cell
**Formation energy without anion corrections**: -0.93 eV/atom
**Volume**: 46.16 A^3/atom



# 4
A relaxed In2GaRhI crystal, computed with PBE-GGA.

```
data_In2GaRhI
_chemical_formula_sum 'In2 Ga1 Rh1 I1'
_cell_length_a 5.315
_cell_length_b 5.315
_cell_length_c 4.861
_cell_angle_alpha 90.00
_cell_angle_beta 90.00
_cell_angle_gamma 90.00
_symmetry_space_group_name_H-M 'P 1'
_symmetry_Int_Tables_number 1
_symmetry_space_group_name_Hall 'P 1'
loop_
_atom_site_label
_atom_site_fract_x
_atom_site_fract_y
_atom_site_fract_z
_atom_site_occupancy
In1 0.500 0.000 0.000 1
In2 0.000 0.500 0.000 1
Rh1 0.000 0.000 0.000 1
I1 0.500 0.500 0.500 1
Ga1 0.000 0.000 0.500 1
```

**M_tot**: 0.0 μB per cell
**Formation energy without anion corrections**: -0.36 eV/atom
**Volume**: 27.47 A^3/atom



# 5
A relaxed InGaSb2I crystal, computed with PBE-GGA.

```
data_InGaSb2I
_chemical_formula_sum 'In1 Ga1 Sb2 I1'
_cell_length_a 5.335
_cell_length_b 5.335
_cell_length_c 6.087
_cell_angle_alpha 90.00
_cell_angle_beta 90.00
_cell_angle_gamma 90.00
_symmetry_space_group_name_H-M 'P 1'
_symmetry_Int_Tables_number 1
_symmetry_space_group_name_Hall 'P 1'
loop_
_atom_site_label
_atom_site_fract_x
_atom_site_fract_y
_atom_site_fract_z
_atom_site_occupancy
Sb1 0.500 0.000 0.000 1
Sb2 0.000 0.500 0.000 1
I1 0.000 0.000 0.500 1
In1 0.500 0.500 0.500 1
Ga1 0.000 0.000 0.000 1
```

**M_tot**: 0.0 μB per cell
**Formation energy without anion corrections**: 0.31 eV/atom
**Energy above the most stable polymorph in this dataset**: 0.000 eV/atom
**Volume**: 34.65 A^3/atom



# 6
A relaxed InGaSb2I crystal, computed with PBE-GGA.

```
data_InGaSb2I
_chemical_formula_sum 'In1 Ga1 Sb2 I1'
_cell_length_a 5.616
_cell_length_b 5.616
_cell_length_c 6.228
_cell_angle_alpha 90.00
_cell_angle_beta 90.00
_cell_angle_gamma 90.00
_symmetry_space_group_name_H-M 'P 1'
_symmetry_Int_Tables_number 1
_symmetry_space_group_name_Hall 'P 1'
loop_
_atom_site_label
_atom_site_fract_x
_atom_site_fract_y
_atom_site_fract_z
_atom_site_occupancy
In1 0.000 0.000 0.000 1
Sb1 0.500 0.000 0.000 1
Sb2 0.000 0.500 0.000 1
I1 0.000 0.000 0.500 1
Ga1 0.500 0.500 0.500 1
```

**M_tot**: 0.6 μB per cell
**Formation energy without anion corrections**: 0.51 eV/atom
**Energy above the most stable polymorph in this dataset**: 0.195 eV/atom
**Volume**: 39.28 A^3/atom



# 7
A relaxed InGaSbI2 crystal, computed with PBE-GGA.

```
data_InGaSbI2
_chemical_formula_sum 'In1 Ga1 Sb1 I2'
_cell_length_a 5.838
_cell_length_b 5.838
_cell_length_c 5.379
_cell_angle_alpha 90.00
_cell_angle_beta 90.00
_cell_angle_gamma 90.00
_symmetry_space_group_name_H-M 'P 1'
_symmetry_Int_Tables_number 1
_symmetry_space_group_name_Hall 'P 1'
loop_
_atom_site_label
_atom_site_fract_x
_atom_site_fract_y
_atom_site_fract_z
_atom_site_occupancy
In1 0.500 0.500 0.500 1
I1 0.500 0.000 0.000 1
I2 0.000 0.500 0.000 1
Sb1 0.000 0.000 0.500 1
Ga1 0.000 0.000 0.000 1
```

**M_tot**: 0.0 μB per cell
**Formation energy without anion corrections**: 0.07 eV/atom
**Energy above the most stable polymorph in this dataset**: 0.000 eV/atom
**Volume**: 36.66 A^3/atom



# 8
A relaxed InGaSbI2 crystal, computed with PBE-GGA.

```
data_InGaSbI2
_chemical_formula_sum 'In1 Ga1 Sb1 I2'
_cell_length_a 6.115
_cell_length_b 6.115
_cell_length_c 5.746
_cell_angle_alpha 90.00
_cell_angle_beta 90.00
_cell_angle_gamma 90.00
_symmetry_space_group_name_H-M 'P 1'
_symmetry_Int_Tables_number 1
_symmetry_space_group_name_Hall 'P 1'
loop_
_atom_site_label
_atom_site_fract_x
_atom_site_fract_y
_atom_site_fract_z
_atom_site_occupancy
Sb1 0.000 0.000 0.500 1
I1 0.500 0.000 0.000 1
I2 0.000 0.500 0.000 1
Ga1 0.500 0.500 0.500 1
In1 0.000 0.000 0.000 1
```

**M_tot**: 1.5 μB per cell
**Formation energy without anion corrections**: 0.20 eV/atom
**Energy above the most stable polymorph in this dataset**: 0.127 eV/atom
**Volume**: 42.97 A^3/atom



# 9
A relaxed InGaSeI2 crystal, computed with PBE-GGA.

```
data_InGaSeI2
_chemical_formula_sum 'In1 Ga1 Se1 I2'
_cell_length_a 6.018
_cell_length_b 5.490
_cell_length_c 6.018
_cell_angle_alpha 90.00
_cell_angle_beta 90.00
_cell_angle_gamma 90.00
_symmetry_space_group_name_H-M 'P 1'
_symmetry_Int_Tables_number 1
_symmetry_space_group_name_Hall 'P 1'
loop_
_atom_site_label
_atom_site_fract_x
_atom_site_fract_y
_atom_site_fract_z
_atom_site_occupancy
I1 0.000 0.000 0.500 1
I2 0.500 0.000 0.000 1
Se1 0.500 0.500 0.500 1
Ga1 0.000 0.500 0.000 1
In1 0.000 0.000 0.000 1
```

**M_tot**: 1.9 μB per cell
**Formation energy without anion corrections**: 0.33 eV/atom
**Volume**: 39.76 A^3/atom



# 10
A relaxed SmIn2GaI6 crystal, computed with PBE-GGA.

```
data_SmIn2GaI6
_chemical_formula_sum 'Sm1 In2 Ga1 I6'
_cell_length_a 8.496
_cell_length_b 8.495
_cell_length_c 8.835
_cell_angle_alpha 61.25
_cell_angle_beta 61.25
_cell_angle_gamma 59.96
_symmetry_space_group_name_H-M 'P 1'
_symmetry_Int_Tables_number 1
_symmetry_space_group_name_Hall 'P 1'
loop_
_atom_site_label
_atom_site_fract_x
_atom_site_fract_y
_atom_site_fract_z
_atom_site_occupancy
Ga1 0.818 0.818 0.544 1
I1 0.975 0.578 0.255 1
I2 0.683 0.105 0.765 1
I3 0.192 0.975 0.255 1
I4 0.106 0.446 0.765 1
I5 0.446 0.683 0.765 1
I6 0.577 0.192 0.255 1
Sm1 0.324 0.324 0.028 1
In1 0.017 0.017 0.950 1
In2 0.523 0.523 0.431 1
```

**M_tot**: 0.0 μB per cell
**Formation energy without anion corrections**: -0.81 eV/atom
**Volume**: 45.91 A^3/atom



# 11
A relaxed SmInGa2I6 crystal, computed with PBE-GGA.

```
data_SmInGa2I6
_chemical_formula_sum 'Sm1 In1 Ga2 I6'
_cell_length_a 8.263
_cell_length_b 8.259
_cell_length_c 8.903
_cell_angle_alpha 62.33
_cell_angle_beta 62.31
_cell_angle_gamma 59.97
_symmetry_space_group_name_H-M 'P 1'
_symmetry_Int_Tables_number 1
_symmetry_space_group_name_Hall 'P 1'
loop_
_atom_site_label
_atom_site_fract_x
_atom_site_fract_y
_atom_site_fract_z
_atom_site_occupancy
I1 0.946 0.580 0.239 1
I2 0.718 0.130 0.760 1
I3 0.235 0.946 0.239 1
I4 0.580 0.235 0.239 1
I5 0.393 0.717 0.759 1
I6 0.130 0.393 0.760 1
Ga1 0.512 0.511 0.465 1
Ga2 0.005 0.006 0.984 1
In1 0.818 0.818 0.546 1
Sm1 0.326 0.326 0.023 1
```

**M_tot**: 0.0 μB per cell
**Formation energy without anion corrections**: -0.78 eV/atom
**Volume**: 44.39 A^3/atom



# 12
A relaxed In2GaSnI5 crystal, computed with PBE-GGA.

```
data_In2GaSnI5
_chemical_formula_sum 'In4 Ga2 Sn2 I10'
_cell_length_a 4.631
_cell_length_b 10.292
_cell_length_c 17.137
_cell_angle_alpha 90.00
_cell_angle_beta 90.00
_cell_angle_gamma 103.00
_symmetry_space_group_name_H-M 'P 1'
_symmetry_Int_Tables_number 1
_symmetry_space_group_name_Hall 'P 1'
loop_
_atom_site_label
_atom_site_fract_x
_atom_site_fract_y
_atom_site_fract_z
_atom_site_occupancy
I1 0.253 0.507 0.668 1
I2 0.081 0.162 0.073 1
I3 0.492 0.985 0.770 1
I4 0.285 0.571 0.409 1
I5 0.605 0.211 0.504 1
I6 0.508 0.015 0.270 1
I7 0.919 0.838 0.573 1
I8 0.395 0.789 0.004 1
I9 0.715 0.429 0.909 1
I10 0.747 0.493 0.168 1
In1 0.923 0.847 0.151 1
In2 0.130 0.260 0.266 1
In3 0.077 0.153 0.651 1
In4 0.870 0.740 0.766 1
Sn1 0.240 0.480 0.034 1
Sn2 0.760 0.520 0.534 1
Ga1 0.449 0.897 0.450 1
Ga2 0.551 0.103 0.950 1
```

**M_tot**: 0.0 μB per cell
**Formation energy without anion corrections**: -0.42 eV/atom
**Volume**: 44.22 A^3/atom



D(E_F), respectively: 0.00; 0.00; 0.00; 1.40; 3.63; 4.11; 3.14; 2.42; 3.45; 0.00; 0.00; 0.00 states/eV/cell.